Sr4NiCl | the Alexandria database | GGA-PBEsol | optimized geometry; ΔE_f (raw) = 0.5879 eV per atom; SG = F-43m, No. 216
1.0
-5.180 1.528 -4.488
-3.933 -5.149 -2.707
-6.696 -0.720 1.990
Cl Ni Sr
1 1 4
Cartesian
-11.857 -3.256 -3.905 Cl
0.000 0.000 0.000 Ni
-5.916 -1.625 -1.948 Sr
-9.285 -1.987 -0.947 Sr
-8.522 -0.856 -4.206 Sr
-7.895 -4.215 -3.310 Sr